1.
Computed, not measured: a geometry-optimized Tb3Y2Te8 structure at the PBE level of DFT.

a = 7.520 Å, b = 8.723 Å, c = 8.822 Å
α = 119.63°, β = 106.08°, γ = 90.00°
Fractional positions:
Tb 0.000 0.257 0.000
Tb 0.000 0.743 0.000
Te 0.898 0.618 0.236
Te 0.084 0.878 0.757
Y 0.669 0.750 0.499
Tb 0.500 0.000 0.000
Te 0.587 0.126 0.755
Te 0.587 0.629 0.755
Y 0.331 0.250 0.501
Te 0.102 0.382 0.764
Te 0.413 0.874 0.245
Te 0.916 0.122 0.243
Te 0.413 0.371 0.245

Total moment ... 0.000 Bohr magnetons per cell
Formation energy without anion corrections ... -1.264 eV per atom
E_tot ... -5.261 eV/atom

***

2.
Computed, not measured: a geometry-optimized Nd8Pt2Au3 structure at the PBE level of DFT.

a = 6.731 Å, b = 7.628 Å, c = 8.679 Å
α = 116.07°, β = 100.30°, γ = 90.00°
Fractional positions:
Au 0.500 0.000 0.000
Nd 0.885 0.176 0.351
Nd 0.115 0.824 0.649
Au 0.000 0.817 0.000
Nd 0.624 0.616 0.730
Pt 0.682 0.733 0.466
Nd 0.176 0.425 0.850
Pt 0.318 0.267 0.534
Nd 0.376 0.384 0.270
Nd 0.824 0.575 0.150
Nd 0.376 0.886 0.270
Nd 0.624 0.114 0.730
Au 0.000 0.183 0.000

Total moment ... 0.000 Bohr magnetons per cell
E_tot ... -5.236 eV/atom